A relaxed Th6Te3HOs2 crystal, computed with PBE-GGA.

Output
The density comes out at 10474 kg/m³. Its volume is 342 Å³/f.u. The value obtained for the electronic total energy is -88.521 eV/cell.

Cell lengths 7.1578, 7.1578, 8.0645 Å; angles 98.56, 98.56, 119.93 degrees
Fractional coordinates of all 12 atoms:
Th (0.0906, 0.4318, 0.7954)
Th (0.2266, 0.2266, 0.2052)
Th (0.4318, 0.0906, 0.7954)
Th (0.5682, 0.9094, 0.2046)
Th (0.7734, 0.7734, 0.7948)
Th (0.9094, 0.5682, 0.2046)
Te (0.0000, 0.0000, 0.5000)
Te (0.3334, 0.6666, 0.5000)
Te (0.6666, 0.3334, 0.5000)
H (0.5000, 0.5000, 0.0000)
Os (0.1666, 0.8334, 0.0000)
Os (0.8334, 0.1666, 0.0000)


A relaxed CeLuSnRu crystal, computed with PBE-GGA.

Output
The density comes out at 9570 kg/m³. Its volume is 93 Å³/f.u. The value obtained for the electronic total energy is -25.057 eV/cell.

Cell lengths 5.0819, 5.0819, 5.0819 Å; angles 60.00, 60.00, 60.00 degrees
Fractional coordinates of all 4 atoms:
Ce (0.0000, 0.0000, 0.0000)
Lu (0.5000, 0.5000, 0.5000)
Sn (0.7500, 0.7500, 0.7500)
Ru (0.2500, 0.2500, 0.2500)


A relaxed Ti6Ni2N crystal, computed with PBE-GGA.

Output
The value obtained for the uncorrected formation energy is -0.62 eV per atom. The density comes out at 5451 kg/m³. Its volume is 128 Å³/f.u. For the polymorph energy (0 for the lowest one), the calculation gives 0.0000 eV per atom.

Cell lengths 5.3170, 5.3170, 8.2909 Å; angles 90.40, 90.40, 32.96 degrees
Fractional coordinates of all 9 atoms:
Ti (0.0612, 0.0612, 0.2425)
Ti (0.3686, 0.3686, 0.0553)
Ti (0.3706, 0.3706, 0.4487)
Ti (0.6294, 0.6294, 0.5513)
Ti (0.6314, 0.6314, 0.9447)
Ti (0.9388, 0.9388, 0.7575)
Ni (0.2412, 0.2412, 0.7426)
Ni (0.7588, 0.7588, 0.2574)
N (0.0000, 0.0000, 0.0000)